Run i
10
Lattice="10.947 0.000 0.000 0.000 10.947 0.000 0.000 0.000 4.397" Properties=species:S:1:pos:R:3 comment="Cs2TlI2, relaxed, DFT PBE" mass_density_g_cm3=4.56 dos_at_fermi_per_ev_cell=8.71 sg="P4/mbm (127)" total_magnetization_mub_per_fu=0.00 pbc="T T T"
Cs 1.578 3.895 0.000
Cs 3.895 9.368 0.000
Cs 7.052 1.578 0.000
Cs 9.368 7.052 0.000
Tl 0.000 0.000 0.000
Tl 5.473 5.473 0.000
I 1.673 7.146 2.199
I 3.801 1.673 2.199
I 7.146 9.274 2.199
I 9.274 3.801 2.199

***

Run ii
10
Lattice="9.988 0.000 0.000 0.000 9.988 0.000 0.000 0.000 5.147" Properties=species:S:1:pos:R:3 comment="Cs2TlI2, relaxed, DFT PBE" mass_density_g_cm3=4.68 dos_at_fermi_per_ev_cell=4.39 sg="P4/mbm (127)" total_magnetization_mub_per_fu=0.00 pbc="T T T"
Cs 1.505 3.488 0.000
Cs 3.488 8.482 0.000
Cs 6.499 1.505 0.000
Cs 8.482 6.499 0.000
Tl 0.000 0.000 2.574
Tl 4.994 4.994 2.574
I 1.548 6.542 2.574
I 3.446 1.548 2.574
I 6.542 8.440 2.574
I 8.440 3.446 2.574

***

Most favorable first, least favorable last: run ii, run i